Entry from Alexandria via LeMat-Bulk: a relaxed structure of TmThPa2As4 (PBE).

abc: 4.132 7.141 7.156
angles: 70.49 90.00 90.00
Sites, in units of the cell vectors:
Tm 0.000 0.500 0.500
Th 0.500 0.500 0.000
Pa 0.000 0.000 0.000
Pa 0.500 0.000 0.500
As 0.000 0.757 0.740
As 0.000 0.243 0.260
As 0.500 0.753 0.256
As 0.500 0.247 0.744

Fermi-level density of states in states/eV per atom: 1.02
E_form in eV/f.u.: -9.8
Total magnetization in μB/atom: 0.0000